Entry 1:
The following is a PBE-GGA calculation of a geometry-optimized Li2MnHW structure, from the Alexandria database.

Calculated values
E: -4.846 eV per atom
Fermi-level density of states: 3.32 states/eV/f.u.
V: 65.5 Å³/cell
SG: P4/mmm, No. 123

extended XYZ file:
```
5
Lattice="4.784 0.000 0.000 0.000 4.784 0.000 0.000 0.000 2.860" Properties=species:S:1:pos:R:3 pbc="T T T"
H 0.000 0.000 1.430
Mn 0.000 0.000 0.000
W 2.392 2.392 1.430
Li 0.000 2.392 0.000
Li 2.392 0.000 0.000
```

Entry 2:
The following is a PBE-GGA calculation of a geometry-optimized InHg12Pb3 structure, from the Alexandria database.

Calculated values
E: -1.064 eV per atom
Fermi-level density of states: 6.09 states/eV/f.u.
V: 430.0 Å³/cell
ΔE_f: 29 meV/atom
SG: P4/mmm, No. 123

extended XYZ file:
```
16
Lattice="-4.055 -2.179 -1.294 1.973 -4.247 0.967 -6.252 1.124 17.700" Properties=species:S:1:pos:R:3 pbc="T T T"
In 0.000 0.000 0.000
Hg -1.041 -3.213 -0.164
Hg -2.596 -2.933 4.239
Hg -4.167 -2.651 8.686
Hg -5.738 -2.368 13.134
Hg -2.786 -0.953 1.500
Hg -4.367 -0.669 5.976
Hg -5.940 -0.386 10.430
Hg -7.521 -0.102 14.907
Hg 0.229 -1.987 2.630
Hg -1.353 -1.703 7.107
Hg -2.926 -1.420 11.560
Hg -4.507 -1.136 16.037
Pb -1.561 0.281 4.420
Pb -3.126 0.562 8.850
Pb -4.691 0.843 13.280
```

Entry 3:
The following is a PBE-GGA calculation of a geometry-optimized LiYCd structure, from the Alexandria database.

Calculated values
energy above the lowest structure with this stoichiometry: 0.303 eV per atom
E: -2.982 eV per atom
Fermi-level density of states: 4.54 states/eV/f.u.
V: 75.4 Å³/cell
ΔE_f: 116 meV/atom
SG: F-43m, No. 216

extended XYZ file:
```
3
Lattice="-3.487 0.907 -3.083 0.758 -0.507 -4.653 -2.059 -3.558 -2.364" Properties=species:S:1:pos:R:3 pbc="T T T"
Cd -2.394 -1.579 -5.050
Li -3.591 -2.369 -7.575
Y 0.000 0.000 0.000
```

Entry 4:
The following is a PBE-GGA calculation of a geometry-optimized Pa4P5O structure, from the Alexandria database.

Calculated values
formation energy (no corrections): -1.10 eV per atom
E: -8.096 eV per atom
Fermi-level density of states: 7.99 states/eV/f.u.
V: 223.6 Å³/cell
SG: Immm, No. 71

extended XYZ file:
```
10
Lattice="3.870 0.000 0.000 0.000 6.903 -0.708 -1.935 -2.605 8.638" Properties=species:S:1:pos:R:3 pbc="T T T"
Pa 1.935 0.342 3.351
Pa 0.000 1.530 -0.157
Pa 0.000 3.956 4.579
Pa 1.935 2.768 8.087
P 0.000 2.132 2.534
P 0.000 5.326 2.205
P 1.935 -1.028 5.725
P 1.935 3.451 -0.354
P 1.935 2.167 5.396
O 1.935 0.000 0.000
```